## AcNd7Tm12 (GGA-PBE)

Data for a relaxed structure of AcNd7Tm12.

CIF file:
```
data_AcNd7Tm12
_symmetry_space_group_name_H-M 'I m -3 m'
_symmetry_Int_Tables_number 229
_symmetry_space_group_name_Hall '-I 4 2 3'
_cell_length_a 11.281
_cell_length_b 11.281
_cell_length_c 11.281
_cell_angle_alpha 90.00
_cell_angle_beta 90.00
_cell_angle_gamma 90.00
loop_
_atom_site_label
_atom_site_type_symbol
_atom_site_fract_x
_atom_site_fract_y
_atom_site_fract_z
Ac1 Ac 0.000 0.000 0.000
Nd1 Nd 0.000 0.000 0.500
Nd2 Nd 0.250 0.250 0.250
Tm1 Tm 0.000 0.255 0.255
```

Computed properties:
M_tot (μB/f.u.): 0.00
Mass density (g/cm³): 7.550
Final energy (eV/atom): -3.931

## Zr2SbBr (GGA-PBE)

Data for a relaxed structure of Zr2SbBr.

CIF file:
```
data_Zr2SbBr
_symmetry_space_group_name_H-M 'P 1 2/m 1'
_symmetry_Int_Tables_number 10
_cell_length_a 3.661
_cell_length_b 3.565
_cell_length_c 7.650
_cell_angle_alpha 90.00
_cell_angle_beta 90.08
_cell_angle_gamma 90.00
loop_
_symmetry_equiv_pos_as_xyz
'x,y,z'
'-x,-y,-z'
'-x,y,-z'
'x,-y,z'
loop_
_atom_site_label
_atom_site_type_symbol
_atom_site_fract_x
_atom_site_fract_y
_atom_site_fract_z
Zr1 Zr 0.001 0.000 0.203
Sb1 Sb 0.500 0.500 0.000
Br1 Br 0.000 0.500 0.500
```

Computed properties:
Raw formation energy (eV per atom): -0.491
ΔE to the lowest computed polymorph (kJ/mol of formula units): 26
M_tot (μB/f.u.): 0.00
Mass density (g/cm³): 6.388
Final energy (eV/atom): -6.214

## Tb3Nd2Y6Ho (GGA-PBE)

Data for a relaxed structure of Tb3Nd2Y6Ho.

CIF file:
```
data_Tb3Nd2Y6Ho
_symmetry_space_group_name_H-M 'C 1 2/m 1'
_symmetry_Int_Tables_number 12
_cell_length_a 6.210
_cell_length_b 10.748
_cell_length_c 11.851
_cell_angle_alpha 90.00
_cell_angle_beta 100.01
_cell_angle_gamma 90.00
loop_
_symmetry_equiv_pos_as_xyz
'x,y,z'
'-x,-y,-z'
'-x,y,-z'
'x,-y,z'
'x+1/2,y+1/2,z'
'-x+1/2,-y+1/2,-z'
'-x+1/2,y+1/2,-z'
'x+1/2,-y+1/2,z'
loop_
_atom_site_label
_atom_site_type_symbol
_atom_site_fract_x
_atom_site_fract_y
_atom_site_fract_z
Tb1 Tb 0.000 0.000 0.000
Tb2 Tb 0.000 0.333 0.000
Nd1 Nd 0.000 0.167 0.500
Y1 Y 0.248 0.500 0.248
Y2 Y 0.250 0.166 0.248
Ho1 Ho 0.000 0.500 0.500
```

Computed properties:
M_tot (μB/f.u.): 0.00
Mass density (g/cm³): 6.240
Final energy (eV/atom): -5.549

## TbCe2Tl3Se6 (GGA-PBE)

Data for a relaxed structure of TbCe2Tl3Se6.

CIF file:
```
data_TbCe2Tl3Se6
_symmetry_space_group_name_H-M 'C 1 2/m 1'
_symmetry_Int_Tables_number 12
_cell_length_a 7.453
_cell_length_b 12.905
_cell_length_c 8.128
_cell_angle_alpha 90.00
_cell_angle_beta 107.79
_cell_angle_gamma 90.00
loop_
_symmetry_equiv_pos_as_xyz
'x,y,z'
'-x,-y,-z'
'-x,y,-z'
'x,-y,z'
'x+1/2,y+1/2,z'
'-x+1/2,-y+1/2,-z'
'-x+1/2,y+1/2,-z'
'x+1/2,-y+1/2,z'
loop_
_atom_site_label
_atom_site_type_symbol
_atom_site_fract_x
_atom_site_fract_y
_atom_site_fract_z
Tb1 Tb 0.000 0.000 0.000
Ce1 Ce 0.000 0.333 0.000
Tl1 Tl 0.000 0.167 0.500
Tl2 Tl 0.000 0.500 0.500
Se1 Se 0.232 0.163 0.207
Se2 Se 0.243 0.500 0.208
```

Computed properties:
Raw formation energy (eV per atom): -1.340
M_tot (μB/f.u.): 2.00
Mass density (g/cm³): 6.809
Final energy (eV/atom): -5.049

## DyAgSn2Se4 (GGA-PBE)

Data for a relaxed structure of DyAgSn2Se4.

CIF file:
```
data_DyAgSn2Se4
_symmetry_space_group_name_H-M 'P 1 2/m 1'
_symmetry_Int_Tables_number 10
_cell_length_a 7.171
_cell_length_b 4.187
_cell_length_c 7.404
_cell_angle_alpha 90.00
_cell_angle_beta 109.46
_cell_angle_gamma 90.00
loop_
_symmetry_equiv_pos_as_xyz
'x,y,z'
'-x,-y,-z'
'-x,y,-z'
'x,-y,z'
loop_
_atom_site_label
_atom_site_type_symbol
_atom_site_fract_x
_atom_site_fract_y
_atom_site_fract_z
Dy1 Dy 0.000 0.000 0.000
Ag1 Ag 0.500 0.500 0.000
Sn1 Sn 0.000 0.500 0.500
Sn2 Sn 0.500 0.000 0.500
Se1 Se 0.239 0.500 0.237
Se2 Se 0.252 0.000 0.766
```

Computed properties:
Raw formation energy (eV per atom): -0.760
M_tot (μB/f.u.): 0.00
Mass density (g/cm³): 6.525
Final energy (eV/atom): -4.435

## LaRu2Au (GGA-PBE)

Data for a relaxed structure of LaRu2Au.

CIF file:
```
data_LaRu2Au
_symmetry_space_group_name_H-M 'F m -3 m'
_symmetry_Int_Tables_number 225
_symmetry_space_group_name_Hall '-F 4 2 3'
_cell_length_a 6.689
_cell_length_b 6.689
_cell_length_c 6.689
_cell_angle_alpha 90.00
_cell_angle_beta 90.00
_cell_angle_gamma 90.00
loop_
_atom_site_label
_atom_site_type_symbol
_atom_site_fract_x
_atom_site_fract_y
_atom_site_fract_z
La1 La 0.000 0.000 0.000
Ru1 Ru 0.250 0.250 0.250
Au1 Au 0.000 0.000 0.500
```

Computed properties:
ΔE to the lowest computed polymorph (kJ/mol of formula units): 72
M_tot (μB/f.u.): 1.70
Mass density (g/cm³): 11.940
Final energy (eV/atom): -6.418